## RbCaPb (PBE-GGA)

Data for crystalline RbCaPb at its relaxed geometry.

Summary:
ρ: 4.1 g/cm³
calculated volume: 272 Å³ per cell
space group: P4/nmm
E_form: -66 kJ/mol of formula units

The structure in extended XYZ format:
```
6
Lattice="-1.1410 -2.7576 4.5701 4.5551 -2.9390 -0.6361 4.6511 6.1537 4.8744" Properties=species:S:1:pos:R:3 pbc="T T T"
Ca 2.3256 3.0768 2.4372
Ca 4.0326 0.2285 4.4042
Rb 6.3006 3.8532 3.8981
Rb 0.0575 -0.5479 2.9432
Pb 2.7111 2.9630 5.7242
Pb 3.6471 0.3424 1.1172
```